1.
The following is a GGA-PBE calculation of a relaxed structure of GeMo2Pd, from the Open Quantum Materials Database.

Cell: 4.4477 4.4477 4.4477 Å, 60.00 60.00 60.00°
Last column: nearest neighbours and their distance in Å.
Positions (direct):
Ge1 0.5000 0.5000 0.5000  4 Pd 2.72, 4 Mo 2.72
Mo1 0.0000 0.0000 0.0000  4 Mo 2.72, 4 Pd 2.72
Mo2 0.7500 0.7500 0.7500  4 Mo 2.72, 4 Ge 2.72
Pd1 0.2500 0.2500 0.2500  4 Ge 2.72, 4 Mo 2.72

E (eV per atom): -7.710

2.
The following is a GGA-PBE calculation of a relaxed structure of Zr4AlPN2, from the Open Quantum Materials Database.

Cell: 3.3351 3.3351 13.1974 Å, 90.00 90.00 120.00°
Last column: nearest neighbours and their distance in Å.
Positions (direct):
Al1 0.0000 0.0000 0.0000  6 Zr 2.98, 6 Al 3.34
N1 0.3333 0.6667 0.2646  6 Zr 2.28-2.32
N2 0.3333 0.6667 0.7354  6 Zr 2.28-2.32
P1 0.6667 0.3333 0.5000  6 Zr 2.64
Zr1 0.6667 0.3333 0.1723  3 N 2.28
Zr2 0.0000 0.0000 0.3633  3 N 2.32
Zr3 0.0000 0.0000 0.6367  3 N 2.32
Zr4 0.6667 0.3333 0.8277  3 N 2.28

E (eV per atom): -8.763

3.
The following is a GGA-PBE calculation of a relaxed structure of PrPPdO, from the Open Quantum Materials Database.

Cell: 4.1574 4.1574 8.0838 Å, 90.00 90.00 90.00°
Last column: nearest neighbours and their distance in Å.
Positions (direct):
O1 0.0000 0.0000 0.0000  4 Pr 2.38
O2 0.5000 0.5000 0.0000  4 Pr 2.38
P1 0.5000 0.0000 0.3493  4 Pd 2.41
P2 0.0000 0.5000 0.6507  4 Pd 2.41
Pd1 0.0000 0.0000 0.5000  4 P 2.41
Pd2 0.5000 0.5000 0.5000  4 P 2.41
Pr1 0.0000 0.5000 0.1427  4 O 2.38
Pr2 0.5000 0.0000 0.8573  4 O 2.38

E (eV per atom): -6.919

4.
The following is a GGA-PBE calculation of a relaxed structure of NaSiTcMo, from the Open Quantum Materials Database.

Cell: 4.3730 4.3730 4.3730 Å, 60.00 60.00 60.00°
Last column: nearest neighbours and their distance in Å.
Positions (direct):
Mo1 0.5000 0.5000 0.5000  4 Tc 2.68, 4 Na 2.68
Na1 0.7500 0.7500 0.7500  4 Mo 2.68, 4 Si 2.68
Si1 0.0000 0.0000 0.0000  4 Tc 2.68, 4 Na 2.68
Tc1 0.2500 0.2500 0.2500  4 Mo 2.68, 4 Si 2.68

E (eV per atom): -6.729

5.
The following is a GGA-PBE calculation of a relaxed structure of ZrGeB4, from the Open Quantum Materials Database.

Cell: 4.8680 4.8680 4.8680 Å, 143.13 113.86 78.19°
Last column: nearest neighbours and their distance in Å.
Positions (direct):
B1 0.5833 0.2497 0.3336  3 B 1.77-1.78
B2 0.0839 0.7503 0.3336  3 B 1.77-1.78
B3 0.9161 0.2497 0.6664  3 B 1.77-1.78
B4 0.4167 0.7503 0.6664  3 B 1.77-1.78
Ge1 0.0000 0.0000 0.0000  12 B 2.59
Zr1 0.5000 0.5000 0.0000  12 B 2.59

E (eV per atom): -6.763

6.
The following is a GGA-PBE calculation of a relaxed structure of CoTcB4, from the Open Quantum Materials Database.

Cell: 2.9760 2.9760 6.2803 Å, 90.00 90.00 120.00°
Last column: nearest neighbours and their distance in Å.
Positions (direct):
B1 0.6667 0.3333 0.2321  3 B 1.72
B2 0.3333 0.6667 0.2321  3 B 1.72
B3 0.6667 0.3333 0.7679  3 B 1.72
B4 0.3333 0.6667 0.7679  3 B 1.72
Co1 0.0000 0.0000 0.0000  12 B 2.25
Tc1 0.0000 0.0000 0.5000  12 B 2.40

E (eV per atom): -7.378

7.
The following is a GGA-PBE calculation of a relaxed structure of Sm2C2F, from the Open Quantum Materials Database.

Cell: 6.8944 6.8944 6.4655 Å, 108.04 108.04 36.21°
Last column: nearest neighbours and their distance in Å.
Positions (direct):
C1 0.3442 0.0967 0.0134  1 C 1.37
C2 0.9033 0.6558 0.4866  1 C 1.37
C3 0.0967 0.3442 0.5134  1 C 1.37
C4 0.6558 0.9033 0.9866  1 C 1.37
F1 0.4532 0.5468 0.2500  4 Sm 2.51-2.52
F2 0.5468 0.4532 0.7500  4 Sm 2.51-2.52
Sm1 0.8179 0.4660 0.1094  4 C 2.35-2.62, 2 F 2.51-2.52
Sm2 0.5340 0.1821 0.3906  4 C 2.35-2.62, 2 F 2.51-2.52
Sm3 0.4660 0.8179 0.6094  4 C 2.35-2.62, 2 F 2.51-2.52
Sm4 0.1821 0.5340 0.8906  4 C 2.35-2.62, 2 F 2.51-2.52

E (eV per atom): -7.202

8.
The following is a GGA-PBE calculation of a relaxed structure of Zr4NbGa3, from the Open Quantum Materials Database.

Cell: 8.0889 8.0889 8.0889 Å, 96.18 96.18 141.68°
Last column: nearest neighbours and their distance in Å.
Positions (direct):
Ga1 0.2500 0.2500 0.0000  2 Ga 2.65, 8 Zr 2.86
Ga2 0.7500 0.7500 0.0000  2 Ga 2.65, 8 Zr 2.86
Ga3 0.3410 0.8410 0.1819  2 Nb 2.77, 8 Zr 2.89-3.08
Ga4 0.1590 0.3410 0.5000  2 Nb 2.77, 8 Zr 2.89-3.08
Ga5 0.8410 0.6590 0.5000  2 Nb 2.77, 8 Zr 2.89-3.08
Ga6 0.6590 0.1590 0.8181  2 Nb 2.77, 8 Zr 2.89-3.08
Nb1 0.7500 0.2500 0.5000  2 Nb 2.65, 4 Ga 2.77
Nb2 0.2500 0.7500 0.5000  2 Nb 2.65, 4 Ga 2.77
Zr1 0.7203 0.4197 0.1400  6 Ga 2.86-3.08, 3 Zr 3.05-3.17
Zr2 0.9197 0.2203 0.1400  6 Ga 2.86-3.08, 3 Zr 3.05-3.17
Zr3 0.2203 0.0803 0.3006  6 Ga 2.86-3.08, 3 Zr 3.05-3.17
Zr4 0.5803 0.7203 0.3006  6 Ga 2.86-3.08, 3 Zr 3.05-3.17
Zr5 0.7797 0.9197 0.6994  6 Ga 2.86-3.08, 3 Zr 3.05-3.17
Zr6 0.4197 0.2797 0.6994  6 Ga 2.86-3.08, 3 Zr 3.05-3.17
Zr7 0.2797 0.5803 0.8600  6 Ga 2.86-3.08, 3 Zr 3.05-3.17
Zr8 0.0803 0.7797 0.8600  6 Ga 2.86-3.08, 3 Zr 3.05-3.17

E (eV per atom): -7.176

9.
The following is a GGA-PBE calculation of a relaxed structure of BaPAu, from the Open Quantum Materials Database.

Cell: 7.9469 7.9469 4.7440 Å, 90.00 90.00 120.00°
Last column: nearest neighbours and their distance in Å.
Positions (direct):
Au1 0.6667 0.3333 0.0000  3 P 2.61
Au2 0.3333 0.6667 0.0000  3 P 2.61
Au3 0.0000 0.0000 0.5000  3 Ba 2.95
Ba1 0.6292 0.0000 0.5000  1 Au 2.95, 2 P 3.28
Ba2 0.3708 0.3708 0.5000  1 Au 2.95, 2 P 3.28
Ba3 0.0000 0.6292 0.5000  1 Au 2.95, 2 P 3.28
P1 0.3442 0.0000 0.0000  2 Au 2.61
P2 0.0000 0.3442 0.0000  2 Au 2.61
P3 0.6558 0.6558 0.0000  2 Au 2.61

E (eV per atom): -4.013

10.
The following is a GGA-PBE calculation of a relaxed structure of ZnHgAsO, from the Open Quantum Materials Database.

Cell: 4.1186 4.1186 8.7477 Å, 90.00 90.00 90.00°
Last column: nearest neighbours and their distance in Å.
Positions (direct):
As1 0.0000 0.5000 0.3232  4 Zn 2.58
As2 0.5000 0.0000 0.6768  4 Zn 2.58
Hg1 0.5000 0.0000 0.1112  4 O 2.28
Hg2 0.0000 0.5000 0.8888  4 O 2.28
O1 0.0000 0.0000 0.0000  4 Hg 2.28
O2 0.5000 0.5000 0.0000  4 Hg 2.28
Zn1 0.0000 0.0000 0.5000  4 As 2.58
Zn2 0.5000 0.5000 0.5000  4 As 2.58

E (eV per atom): -2.668

11.
The following is a GGA-PBE calculation of a relaxed structure of HfZrTlNi, from the Open Quantum Materials Database.

Cell: 4.8316 4.8316 4.8316 Å, 60.00 60.00 60.00°
Last column: nearest neighbours and their distance in Å.
Positions (direct):
Hf1 0.2500 0.2500 0.2500  4 Zr 2.96, 4 Tl 2.96
Ni1 0.7500 0.7500 0.7500  4 Zr 2.96, 4 Tl 2.96
Tl1 0.0000 0.0000 0.0000  4 Ni 2.96, 4 Hf 2.96
Zr1 0.5000 0.5000 0.5000  4 Ni 2.96, 4 Hf 2.96

E (eV per atom): -6.314

12.
The following is a GGA-PBE calculation of a relaxed structure of Cu3Ag, from the Open Quantum Materials Database.

Cell: 2.7352 2.7352 14.2769 Å, 90.00 90.00 90.00°
Last column: nearest neighbours and their distance in Å.
Positions (direct):
Ag1 0.0000 0.5000 0.0785  8 Ag 2.74-2.96, 4 Cu 2.75
Ag2 0.5000 0.0000 0.9215  8 Ag 2.74-2.96, 4 Cu 2.75
Cu1 0.5000 0.0000 0.2156  8 Cu 2.52-2.74, 4 Ag 2.75
Cu2 0.0000 0.5000 0.3290  12 Cu 2.52-2.74
Cu3 0.5000 0.0000 0.4430  12 Cu 2.53-2.74
Cu4 0.0000 0.5000 0.5570  12 Cu 2.53-2.74
Cu5 0.5000 0.0000 0.6710  12 Cu 2.52-2.74
Cu6 0.0000 0.5000 0.7844  8 Cu 2.52-2.74, 4 Ag 2.75

Energy of formation from the pure elements (eV per formula unit): 0.20
E (eV per atom): -3.444

13.
The following is a GGA-PBE calculation of a relaxed structure of NdI2, from the Open Quantum Materials Database.

Cell: 9.9045 9.9045 9.9045 Å, 60.00 60.00 60.00°
Last column: nearest neighbours and their distance in Å.
Positions (direct):
I1 0.8750 0.3750 0.3750  2 Nd 3.03
I2 0.3750 0.8750 0.3750  2 Nd 3.03
I3 0.3750 0.3750 0.3750  2 Nd 3.03
I4 0.3750 0.3750 0.8750  2 Nd 3.03
Nd1 0.2500 0.2500 0.2500  4 I 3.03
Nd2 0.5000 0.5000 0.5000  4 I 3.03

E (eV per atom): -3.454

14.
The following is a GGA-PBE calculation of a relaxed structure of CsZnB4, from the Open Quantum Materials Database.

Cell: 6.1222 6.1222 6.1222 Å, 150.82 127.47 61.22°
Last column: nearest neighbours and their distance in Å.
Positions (direct):
B1 0.5851 0.2467 0.3384  3 B 1.75-1.82
B2 0.0917 0.7533 0.3384  3 B 1.75-1.82
B3 0.9083 0.2467 0.6616  3 B 1.75-1.82
B4 0.4149 0.7533 0.6616  3 B 1.75-1.82
Cs1 0.0000 0.0000 0.0000  2 Cs 3.08, 4 Zn 3.12, 12 B 3.18-3.20
Zn1 0.5000 0.5000 0.0000  2 Zn 3.08, 4 Cs 3.12, 12 B 3.15-3.24

E (eV per atom): -3.924

15.
The following is a GGA-PBE calculation of a relaxed structure of SrTaNO2, from the Open Quantum Materials Database.

Cell: 5.6663 5.6672 8.1575 Å, 90.15 90.12 90.01°
Last column: nearest neighbours and their distance in Å.
Positions (direct):
N1 0.2840 0.2170 0.0008  2 Ta 1.94-1.99
N2 0.5164 0.4897 0.2505  2 Ta 1.94-2.01
N3 0.2848 0.7851 0.4908  2 Ta 1.93-2.01
N4 0.0028 0.9894 0.7505  2 Ta 1.94-2.01
O1 0.7085 0.7956 0.0050  2 Ta 2.06-2.13
O2 0.2093 0.7137 0.0140  2 Ta 2.01-2.07
O3 0.9734 0.0233 0.2531  2 Ta 2.06-2.18
O4 0.7899 0.7094 0.4986  2 Ta 2.03
O5 0.2084 0.2899 0.5024  2 Ta 2.04
O6 0.7063 0.2118 0.5163  2 Ta 2.04-2.15
O7 0.4999 0.5226 0.7525  2 Ta 2.07-2.16
O8 0.7892 0.2940 0.9888  2 Ta 2.00-2.06
Sr1 0.0002 0.4920 0.2478  5 O 2.58-2.67, 1 N 2.74
Sr2 0.5088 0.9977 0.2488  3 O 2.56-2.73, 3 N 2.64-2.79
Sr3 0.0008 0.4961 0.7467  6 O 2.58-2.84, 2 N 2.80-2.87
Sr4 0.5057 0.9922 0.7499  3 O 2.55-2.66, 4 N 2.72-2.85
Ta1 0.4945 0.4873 0.0048  2 N 1.94-2.01, 4 O 2.00-2.13
Ta2 0.4981 0.5028 0.4876  2 N 1.94-2.01, 4 O 2.03-2.16
Ta3 0.0127 0.9887 0.5036  2 N 1.93-2.01, 4 O 2.03-2.15
Ta4 0.0064 0.0018 0.9876  2 N 1.94-1.99, 3 O 2.01-2.06

E (eV per atom): -8.756

16.
The following is a GGA-PBE calculation of a relaxed structure of YGaFeCo, from the Open Quantum Materials Database.

Cell: 4.5424 4.5424 4.5424 Å, 60.00 60.00 60.00°
Last column: nearest neighbours and their distance in Å.
Positions (direct):
Co1 0.5000 0.5000 0.5000  4 Fe 2.78, 4 Y 2.78
Fe1 0.7500 0.7500 0.7500  4 Co 2.78, 4 Ga 2.78
Ga1 0.0000 0.0000 0.0000  4 Y 2.78, 4 Fe 2.78
Y1 0.2500 0.2500 0.2500  4 Ga 2.78, 4 Co 2.78

E (eV per atom): -6.217

17.
The following is a GGA-PBE calculation of a relaxed structure of ZrNbPb2, from the Open Quantum Materials Database.

Cell: 5.1327 5.1327 5.1327 Å, 60.00 60.00 60.00°
Last column: nearest neighbours and their distance in Å.
Positions (direct):
Nb1 0.7500 0.7500 0.7500  4 Pb 3.14, 4 Zr 3.14
Pb1 0.0000 0.0000 0.0000  4 Nb 3.14, 4 Pb 3.14
Pb2 0.2500 0.2500 0.2500  4 Zr 3.14, 4 Pb 3.14
Zr1 0.5000 0.5000 0.5000  4 Pb 3.14, 4 Nb 3.14

E (eV per atom): -6.024

18.
The following is a GGA-PBE calculation of a relaxed structure of KGdGe2O6, from the Open Quantum Materials Database.

Cell: 7.2307 7.2307 5.6625 Å, 99.97 99.97 86.02°
Last column: nearest neighbours and their distance in Å.
Positions (direct):
Gd1 0.1112 0.8888 0.2500  6 O 2.19-2.35
Gd2 0.8888 0.1112 0.7500  6 O 2.19-2.35
Ge1 0.1965 0.3702 0.2256  4 O 1.72-1.81
Ge2 0.6298 0.8035 0.2744  4 O 1.72-1.81
Ge3 0.3702 0.1965 0.7256  4 O 1.72-1.81
Ge4 0.8035 0.6298 0.7744  4 O 1.72-1.81
K1 0.6801 0.3199 0.2500  8 O 2.75-2.83
K2 0.3199 0.6801 0.7500  8 O 2.75-2.83
O1 0.6709 0.6299 0.0159  2 Ge 1.80-1.81
O2 0.0390 0.1877 0.1425  1 Ge 1.75
O3 0.4050 0.8961 0.2015  1 Ge 1.72
O4 0.1039 0.5950 0.2985  1 Ge 1.72
O5 0.8123 0.9610 0.3575  1 Ge 1.75
O6 0.3701 0.3291 0.4841  2 Ge 1.80-1.81
O7 0.6299 0.6709 0.5159  2 Ge 1.80-1.81
O8 0.1877 0.0390 0.6425  1 Ge 1.75
O9 0.8961 0.4050 0.7015  1 Ge 1.72
O10 0.5950 0.1039 0.7985  1 Ge 1.72
O11 0.9610 0.8123 0.8575  1 Ge 1.75
O12 0.3291 0.3701 0.9841  2 Ge 1.80-1.81

E (eV per atom): -6.697

19.
The following is a GGA-PBE calculation of a relaxed structure of ErAlAg2O4, from the Open Quantum Materials Database.

Cell: 3.1595 3.1595 12.5278 Å, 90.00 90.00 120.00°
Last column: nearest neighbours and their distance in Å.
Positions (direct):
Ag1 0.3333 0.6667 0.2616  2 O 2.09-2.10
Ag2 0.6667 0.3333 0.7384  2 O 2.09-2.10
Al1 0.0000 0.0000 0.5000  6 O 2.03
Er1 0.0000 0.0000 0.0000  6 O 2.18
O1 0.3333 0.6667 0.0952  1 Ag 2.09, 3 Er 2.18
O2 0.3333 0.6667 0.4294  3 Al 2.03, 1 Ag 2.10
O3 0.6667 0.3333 0.5706  3 Al 2.03, 1 Ag 2.10
O4 0.6667 0.3333 0.9048  1 Ag 2.09, 3 Er 2.18

E (eV per atom): -6.191

20.
The following is a GGA-PBE calculation of a relaxed structure of GdYIn2Ni4, from the Open Quantum Materials Database.

Cell: 4.4188 4.4188 8.5191 Å, 90.00 90.00 120.00°
Last column: nearest neighbours and their distance in Å.
Positions (direct):
Gd1 0.0000 0.0000 0.0000  8 Ni 2.85-2.92
In1 0.6667 0.3333 0.2517  6 Ni 2.65
In2 0.6667 0.3333 0.7483  6 Ni 2.65
Ni1 0.3333 0.6667 0.1670  3 In 2.65, 1 Y 2.84, 4 Ni 2.85-2.92, 3 Gd 2.92
Ni2 0.0000 0.0000 0.3342  3 In 2.65, 4 Ni 2.82-2.92, 1 Gd 2.85, 3 Y 2.92
Ni3 0.0000 0.0000 0.6658  3 In 2.65, 4 Ni 2.82-2.92, 1 Gd 2.85, 3 Y 2.92
Ni4 0.3333 0.6667 0.8330  3 In 2.65, 1 Y 2.84, 4 Ni 2.85-2.92, 3 Gd 2.92
Y1 0.3333 0.6667 0.5000  8 Ni 2.84-2.92

E (eV per atom): -5.260